[1]
An optimized crystal structure of Zr3Ti5Te2, computed with PBE.

Structure (POSCAR):
```
Zr3Ti5Te2
1.0
-4.4105 -3.3403 -0.3187
2.5761 -8.3377 3.5545
-3.2022 -1.2066 8.7794
Zr Ti Te
6 10 4
Cartesian
-2.7372 -10.8439 6.9887
-1.1026 -0.8351 -0.0797
-3.1219 -5.9775 9.4899
-3.3079 -2.5053 -0.2390
-1.9147 -6.9071 2.5253
-2.2993 -2.0407 5.0265
-2.5604 -3.7307 2.2602
-1.6392 -7.7658 7.7142
-4.4248 -8.7198 8.0796
-2.4762 -9.1539 9.7551
-4.6815 -10.8241 9.5958
-1.4157 -5.6072 6.0873
-3.6209 -7.2774 5.9280
-0.6118 -4.1648 3.9356
-0.3551 -2.0605 2.4195
-3.3974 -5.1188 4.3010
-6.0292 -6.6618 8.7135
-0.4194 -9.1933 5.7943
-4.6172 -3.6914 6.2209
0.9926 -6.2228 3.3018
```

Computed properties:
E_tot ... -0.5360 Ry/atom

[2]
An optimized crystal structure of Tb6CdRu, computed with PBE.

Structure (POSCAR):
```
Tb6CdRu
1.0
-3.0048 -5.4787 2.8165
3.6917 -4.3164 3.8850
-1.1849 0.2038 7.3920
Tb Cd Ru
6 1 1
Cartesian
-1.0180 -7.7186 6.7591
0.7486 -5.5204 9.8153
-1.2466 -4.0709 4.2782
0.5201 -1.8727 7.3344
-3.1014 -4.3091 7.9517
2.6034 -5.2822 6.1418
-0.2490 -4.7957 7.0467
0.0000 0.0000 0.0000
```

Computed properties:
Formation enthalpy at 0 K ... 0.024 eV/atom
E_tot ... -0.3471 Ry/atom

[3]
An optimized crystal structure of In3SnGe, computed with PBE.

Structure (POSCAR):
```
In3SnGe
1.0
-4.5477 -1.1927 -3.0735
2.6924 -4.3656 -2.2896
-1.9026 -3.3270 4.1063
In Sn Ge
3 1 1
Cartesian
-0.9513 -1.6635 2.0531
1.3462 -2.1828 -1.1448
-2.2738 -0.5964 -1.5368
0.0000 0.0000 0.0000
-1.8789 -4.4427 -0.6284
```

Computed properties:
Formation enthalpy at 0 K ... 0.702 eV/atom
E_tot ... -0.1959 Ry/atom

[4]
An optimized crystal structure of MgZnTcAs2, computed with PBE.

Structure (POSCAR):
```
MgZnTcAs2
1.0
-3.6080 -2.6518 2.0187
3.1547 -3.4244 1.1399
0.8115 2.1865 4.3227
As Tc Mg Zn
2 1 1 1
Cartesian
-1.8040 -1.3259 1.0094
0.4058 1.0933 2.1613
0.1791 -1.9449 3.7406
0.0000 0.0000 0.0000
1.5774 -1.7122 0.5700
```

Computed properties:
Formation enthalpy at 0 K ... 1.166 eV/atom
E_tot ... -0.2455 Ry/atom

Number 1: volume 21.350 Å³ per atom. Number 2: volume 32.587 Å³ per atom. Number 3: volume 35.444 Å³ per atom. Number 4: volume 23.129 Å³ per atom.